Entry 1:
Computed, not measured: crystalline Ba2GaSi3Au4 at its relaxed geometry at the PBE-GGA level of DFT.

a = 4.613 Å, b = 4.613 Å, c = 10.436 Å
α = 90.00°, β = 90.00°, γ = 90.00°
Sites, in units of the cell vectors:
Ba  0.500  0.000  0.250
Ba  0.000  0.500  0.750
Au  0.000  0.000  0.000
Au  0.500  0.000  0.629
Au  0.000  0.500  0.371
Au  0.500  0.500  0.000
Ga  0.500  0.500  0.500
Si  0.000  0.000  0.500
Si  0.500  0.000  0.878
Si  0.000  0.500  0.122

Output
D(E_F) ... 0.558 states/eV/atom
M_tot ... 0.000 μB per atom
Energy relative to the elements, uncorrected ... -0.468 eV/atom

=====

Entry 2:
Computed, not measured: crystalline Ba2Ga4SiAu3 at its relaxed geometry at the PBE-GGA level of DFT.

a = 4.679 Å, b = 4.679 Å, c = 10.627 Å
α = 90.00°, β = 90.00°, γ = 90.00°
Sites, in units of the cell vectors:
Au  0.500  0.000  0.875
Au  0.000  0.000  0.500
Au  0.000  0.500  0.125
Ga  0.500  0.500  0.000
Ga  0.500  0.000  0.624
Ga  0.000  0.500  0.376
Ga  0.000  0.000  0.000
Ba  0.500  0.000  0.253
Ba  0.000  0.500  0.747
Si  0.500  0.500  0.500

Output
D(E_F) ... 0.627 states/eV/atom
M_tot ... 0.000 μB per atom
Energy relative to the elements, uncorrected ... -0.501 eV/atom

=====

Entry 3:
Computed, not measured: crystalline BaGaSnAu2 at its relaxed geometry at the PBE-GGA level of DFT.

a = 4.683 Å, b = 4.683 Å, c = 6.738 Å
α = 110.34°, β = 110.34°, γ = 90.00°
Sites, in units of the cell vectors:
Ga  0.250  0.750  0.500
Sn  0.750  0.250  0.500
Au  0.378  0.378  0.755
Au  0.622  0.622  0.245
Ba  0.000  0.000  0.000

Output
D(E_F) ... 0.440 states/eV/atom
M_tot ... 0.000 μB per atom
Calculated formation energy ... -557 meV per atom